BaCu2Mo | GGA-PBE | relaxed

Geometry as POSCAR:
```
BaCu2Mo
1.0
-7.063 4.376 5.214
-7.445 1.523 6.203
-5.366 3.322 7.510
Ba Cu Mo
1 2 1
direct
0.746 0.746 0.746
0.982 0.982 0.982
0.254 0.254 0.254
0.518 0.518 0.518
```

- Energy relative to the elements: 3.74 eV per formula unit
- Relative energy among the computed polymorphs: 482 meV/atom
- Calculated density: 7730 kg/m3

Tb2ZnCu4Si3 | GGA-PBE | relaxed

Geometry as POSCAR:
```
Tb2ZnCu4Si3
1.0
4.007 0.000 0.000
0.000 4.007 0.000
0.000 0.000 10.059
Tb Zn Cu Si
2 1 4 3
direct
0.500 0.000 0.243
0.000 0.500 0.757
0.500 0.500 0.500
0.500 0.500 0.000
0.000 0.000 0.000
0.500 0.000 0.638
0.000 0.500 0.362
0.000 0.000 0.500
0.500 0.000 0.867
0.000 0.500 0.133
```

- Formation energy without anion corrections: -0.512 eV/atom
- Calculated density: 7422 kg/m3